Entry from Alexandria: an optimized crystal structure of BaMn2WF (GGA+U).

Computed properties:
The volume is 138 Å³/f.u. As for the space group: No. 123. For the density, the calculation gives 5.40 g/cm³. As for the total energy: -4.84 eV/atom.

abc: 5.575 5.575 4.455
angles: 90.00 90.00 90.00
Sites, in units of the cell vectors:
1 Ba 0.000 0.000 0.000
2 Mn 0.000 0.500 0.500
3 Mn 0.500 0.000 0.500
4 W 0.500 0.500 0.000
5 F 0.500 0.500 0.500

---

Entry from Alexandria: an optimized crystal structure of BaMnZn2F8 (GGA+U).

Computed properties:
The volume is 176 Å³/f.u. As for the space group: No. 148. For the density, the calculation gives 4.49 g/cm³. As for the total energy: -4.96 eV/atom.

abc: 7.683 7.683 7.683
angles: 40.95 40.95 40.95
Sites, in units of the cell vectors:
1 Ba 0.000 0.000 0.000
2 Mn 0.500 0.500 0.500
3 Zn 0.233 0.233 0.233
4 Zn 0.767 0.767 0.767
5 F 0.129 0.793 0.413
6 F 0.207 0.587 0.871
7 F 0.325 0.325 0.325
8 F 0.413 0.129 0.793
9 F 0.587 0.871 0.207
10 F 0.675 0.675 0.675
11 F 0.793 0.413 0.129
12 F 0.871 0.207 0.587

---

Entry from Alexandria: an optimized crystal structure of BaMn2ZnF (GGA+U).

Computed properties:
The volume is 145 Å³/f.u. As for the space group: No. 123. For the density, the calculation gives 3.80 g/cm³. The value obtained for the polymorph energy (0 for the lowest one) is 9.34 kJ per mole of atoms. As for the total energy: -4.14 eV/atom.

abc: 4.833 4.833 6.211
angles: 90.00 90.00 90.00
Sites, in units of the cell vectors:
1 Ba 0.000 0.000 0.000
2 Mn 0.000 0.500 0.500
3 Mn 0.500 0.000 0.500
4 Zn 0.500 0.500 0.500
5 F 0.500 0.500 0.000

---

Entry from Alexandria: an optimized crystal structure of BaMn2ZnF (GGA+U).

Computed properties:
The volume is 158 Å³/f.u. As for the space group: No. 123. For the density, the calculation gives 3.48 g/cm³. The value obtained for the polymorph energy (0 for the lowest one) is 0.00 kJ per mole of atoms. As for the total energy: -4.23 eV/atom.

abc: 4.809 4.809 6.847
angles: 90.00 90.00 90.00
Sites, in units of the cell vectors:
1 Ba 0.000 0.000 0.000
2 Mn 0.000 0.500 0.500
3 Mn 0.500 0.000 0.500
4 Zn 0.000 0.000 0.500
5 F 0.500 0.500 0.000

---

Entry from Alexandria: an optimized crystal structure of Ba2MnZn3F12 (GGA+U).

Computed properties:
The volume is 275 Å³/f.u. As for the space group: No. 166. For the density, the calculation gives 4.56 g/cm³. As for the total energy: -4.86 eV/atom.

abc: 7.232 7.232 7.232
angles: 61.19 61.19 61.19
Sites, in units of the cell vectors:
1 Ba 0.123 0.123 0.123
2 Ba 0.877 0.877 0.877
3 Mn 0.500 0.500 0.500
4 Zn 0.000 0.500 0.500
5 Zn 0.500 0.000 0.500
6 Zn 0.500 0.500 0.000
7 F 0.140 0.607 0.607
8 F 0.170 0.170 0.597
9 F 0.170 0.597 0.170
10 F 0.393 0.393 0.860
11 F 0.393 0.860 0.393
12 F 0.403 0.830 0.830
13 F 0.597 0.170 0.170
14 F 0.607 0.140 0.607
15 F 0.607 0.607 0.140
16 F 0.830 0.403 0.830
17 F 0.830 0.830 0.403
18 F 0.860 0.393 0.393

---

Entry from Alexandria: an optimized crystal structure of BaMnZnF6 (GGA+U).

Computed properties:
The volume is 151 Å³/f.u. As for the space group: No. 5. For the density, the calculation gives 4.08 g/cm³. As for the total energy: -5.40 eV/atom.

abc: 5.579 5.579 5.602
angles: 90.04 90.04 119.93
Sites, in units of the cell vectors:
1 Ba 0.000 0.000 0.000
2 Mn 0.333 0.667 0.500
3 Zn 0.667 0.333 0.500
4 F 0.377 0.009 0.707
5 F 0.378 0.370 0.292
6 F 0.630 0.622 0.708
7 F 0.632 0.010 0.291
8 F 0.990 0.368 0.709
9 F 0.991 0.623 0.293

---

Entry from Alexandria: an optimized crystal structure of BaMoF3 (GGA+U).

Computed properties:
The volume is 131 Å³/f.u. As for the space group: No. 221. For the density, the calculation gives 3.69 g/cm³. The value obtained for the polymorph energy (0 for the lowest one) is 0.86 kJ per mole of atoms. As for the total energy: -5.01 eV/atom.

abc: 5.074 5.074 5.074
angles: 90.00 90.00 90.00
Sites, in units of the cell vectors:
1 Ba 0.000 0.000 0.000
2 Mo 0.500 0.500 0.500
3 F 0.000 0.000 0.500
4 F 0.000 0.500 0.000
5 F 0.500 0.000 0.000

---

Entry from Alexandria: an optimized crystal structure of BaMoF5 (GGA+U).

Computed properties:
The volume is 143 Å³/f.u. As for the space group: No. 15. For the density, the calculation gives 3.80 g/cm³. As for the total energy: -5.77 eV/atom.

abc: 6.263 6.263 8.419
angles: 109.36 109.36 72.21
Sites, in units of the cell vectors:
1 Ba 0.042 0.958 0.750
2 Ba 0.958 0.042 0.250
3 Mo 0.500 0.500 0.000
4 Mo 0.500 0.500 0.500
5 F 0.208 0.775 0.027
6 F 0.225 0.792 0.473
7 F 0.259 0.294 0.388
8 F 0.294 0.259 0.888
9 F 0.434 0.566 0.750
10 F 0.566 0.434 0.250
11 F 0.706 0.741 0.112
12 F 0.741 0.706 0.612
13 F 0.775 0.208 0.527
14 F 0.792 0.225 0.973

---

Entry from Alexandria: an optimized crystal structure of BaMoF3 (GGA+U).

Computed properties:
The volume is 102 Å³/f.u. As for the space group: No. 221. For the density, the calculation gives 4.72 g/cm³. The value obtained for the polymorph energy (0 for the lowest one) is 0.00 kJ per mole of atoms. As for the total energy: -5.01 eV/atom.

abc: 4.674 4.674 4.674
angles: 90.00 90.00 90.00
Sites, in units of the cell vectors:
1 Ba 0.000 0.000 0.000
2 Mo 0.500 0.500 0.500
3 F 0.000 0.500 0.500
4 F 0.500 0.000 0.500
5 F 0.500 0.500 0.000

---

Entry from Alexandria: an optimized crystal structure of BaMo2F8 (GGA+U).

Computed properties:
The volume is 170 Å³/f.u. As for the space group: No. 12. For the density, the calculation gives 4.70 g/cm³. As for the total energy: -5.71 eV/atom.

abc: 6.592 6.592 4.206
angles: 103.89 103.89 95.10
Sites, in units of the cell vectors:
1 Ba 0.000 0.000 0.000
2 Mo 0.323 0.677 0.500
3 Mo 0.677 0.323 0.500
4 F 0.003 0.691 0.363
5 F 0.306 0.694 0.000
6 F 0.309 0.997 0.637
7 F 0.345 0.345 0.342
8 F 0.655 0.655 0.658
9 F 0.691 0.003 0.363
10 F 0.694 0.306 0.000
11 F 0.997 0.309 0.637

---

Entry from Alexandria: an optimized crystal structure of Ba2MoF7 (GGA+U).

Computed properties:
The volume is 165 Å³/f.u. As for the space group: No. 15. For the density, the calculation gives 5.05 g/cm³. As for the total energy: -5.66 eV/atom.

abc: 7.776 7.776 9.028
angles: 125.02 125.02 51.98
Sites, in units of the cell vectors:
1 Ba 0.145 0.223 0.089
2 Ba 0.223 0.145 0.589
3 Ba 0.777 0.855 0.411
4 Ba 0.855 0.777 0.911
5 Mo 0.420 0.580 0.750
6 Mo 0.580 0.420 0.250
7 F 0.115 0.885 0.750
8 F 0.146 0.616 0.202
9 F 0.205 0.434 0.479
10 F 0.263 0.544 0.855
11 F 0.384 0.854 0.298
12 F 0.434 0.205 0.979
13 F 0.456 0.737 0.645
14 F 0.544 0.263 0.355
15 F 0.566 0.795 0.021
16 F 0.616 0.146 0.702
17 F 0.737 0.456 0.145
18 F 0.795 0.566 0.521
19 F 0.854 0.384 0.798
20 F 0.885 0.115 0.250

---

Please write out number 6 again, unchanged.
Entry from Alexandria: an optimized crystal structure of BaMnZnF6 (GGA+U).

Computed properties:
The volume is 151 Å³/f.u. As for the space group: No. 5. For the density, the calculation gives 4.08 g/cm³. As for the total energy: -5.40 eV/atom.

abc: 5.579 5.579 5.602
angles: 90.04 90.04 119.93
Sites, in units of the cell vectors:
1 Ba 0.000 0.000 0.000
2 Mn 0.333 0.667 0.500
3 Zn 0.667 0.333 0.500
4 F 0.377 0.009 0.707
5 F 0.378 0.370 0.292
6 F 0.630 0.622 0.708
7 F 0.632 0.010 0.291
8 F 0.990 0.368 0.709
9 F 0.991 0.623 0.293